Entry 1:
First-principles (PBE) data for an optimized crystal structure of Tl2Cr2GeS6, as listed in Alexandria via LeMat-Bulk.

Cell: 6.148 10.687 7.775 Å, 90.00 105.05 90.00°
Space group C2/m (No. 12)
Unique sites:
Tl1 0.000 0.166 0.000 (multiplicity 4)
Cr1 0.000 0.332 0.500 (multiplicity 4)
Ge1 0.000 0.000 0.500 (multiplicity 2)
S1 0.220 0.500 0.671 (multiplicity 4)
S2 0.225 0.168 0.673 (multiplicity 8)

Size of the total moment = 11.83 μB per cell
E = -5.371 eV/atom
Energy relative to the elements, uncorrected = -0.52 eV/atom
D(E_F) = 5.262 states/eV/cell

Entry 2:
First-principles (PBE) data for an optimized crystal structure of Y6CrGe2S14, as listed in Alexandria via LeMat-Bulk.

Cell: 9.7566 9.7566 5.9618 Å, 90.00 90.00 120.00°
Space group P3 (No. 143)
Unique sites:
Y1 0.0247 0.4759 0.0000 (multiplicity 3)
Y2 0.3048 0.1916 0.4936 (multiplicity 3)
Cr1 0.6667 0.3333 0.6787 (multiplicity 1)
Ge1 0.0000 0.0000 0.0672 (multiplicity 1)
Ge2 0.3333 0.6667 0.5774 (multiplicity 1)
S1 0.0000 0.0000 0.6947 (multiplicity 1)
S2 0.0914 0.2387 0.2267 (multiplicity 3)
S3 0.1888 0.7608 0.7371 (multiplicity 3)
S4 0.3333 0.6667 0.2039 (multiplicity 1)
S5 0.4233 0.2331 0.9164 (multiplicity 3)
S6 0.5184 0.0855 0.4422 (multiplicity 3)

Size of the total moment = 3.94 μB per cell
E = -6.504 eV/atom
Energy relative to the elements, uncorrected = -1.49 eV/atom
D(E_F) = 6.675 states/eV/cell